Density functional theory data (PBE) for a geometry-optimized La2FeSbPd structure.

Output
The volume is 174 Å³/cell. The formation energy from raw total energies is 3.3 eV per formula unit.

```
data_La2FeSbPd
_cell_length_a 5.994
_cell_length_b 4.850
_cell_length_c 5.994
_cell_angle_alpha 90.00
_cell_angle_beta 90.00
_cell_angle_gamma 90.00
_symmetry_space_group_name_H-M 'P 1'
_symmetry_Int_Tables_number 1
loop_
_symmetry_equiv_pos_as_xyz
'x,y,z'
loop_
_atom_site_label
_atom_site_type_symbol
_atom_site_fract_x
_atom_site_fract_y
_atom_site_fract_z
Sb1 Sb 0.000 0.000 0.000
Fe1 Fe 0.500 0.500 0.500
La1 La 0.500 0.000 0.000
La2 La 0.000 0.000 0.500
Pd1 Pd 0.000 0.500 0.000
```


Density functional theory data (PBE) for a geometry-optimized PmTmScSn structure.

Output
The volume is 105 Å³/cell. The calculation puts the formation energy at -0.21 eV/atom.

```
data_PmTmScSn
_cell_length_a 5.294
_cell_length_b 5.294
_cell_length_c 5.294
_cell_angle_alpha 60.00
_cell_angle_beta 60.00
_cell_angle_gamma 60.00
_symmetry_space_group_name_H-M 'P 1'
_symmetry_Int_Tables_number 1
loop_
_symmetry_equiv_pos_as_xyz
'x,y,z'
loop_
_atom_site_label
_atom_site_type_symbol
_atom_site_fract_x
_atom_site_fract_y
_atom_site_fract_z
Tm1 Tm 0.750 0.750 0.750
Sc1 Sc 0.250 0.250 0.250
Pm1 Pm 0.500 0.500 0.500
Sn1 Sn 0.000 0.000 0.000
```


Density functional theory data (PBE) for a geometry-optimized Y2TlHgH structure.

Output
The volume is 107 Å³/cell. The electronic total energy comes out at -20.475 eV per cell.

```
data_Y2TlHgH
_cell_length_a 4.864
_cell_length_b 4.864
_cell_length_c 4.509
_cell_angle_alpha 90.00
_cell_angle_beta 90.00
_cell_angle_gamma 90.00
_symmetry_space_group_name_H-M 'P 1'
_symmetry_Int_Tables_number 1
loop_
_symmetry_equiv_pos_as_xyz
'x,y,z'
loop_
_atom_site_label
_atom_site_type_symbol
_atom_site_fract_x
_atom_site_fract_y
_atom_site_fract_z
Y1 Y 0.000 0.500 0.000
Y2 Y 0.500 0.000 0.000
Tl1 Tl 0.500 0.500 0.500
H1 H 0.000 0.000 0.000
Hg1 Hg 0.000 0.000 0.500
```


Density functional theory data (PBE) for a geometry-optimized Tm2Ge3Rh2 structure.

Output
The volume is 128 Å³/cell. The calculation puts the formation energy at -0.78 eV/atom.

```
data_Tm2Ge3Rh2
_cell_length_a 4.197
_cell_length_b 5.429
_cell_length_c 6.651
_cell_angle_alpha 111.89
_cell_angle_beta 90.00
_cell_angle_gamma 112.74
_symmetry_space_group_name_H-M 'P 1'
_symmetry_Int_Tables_number 1
loop_
_symmetry_equiv_pos_as_xyz
'x,y,z'
loop_
_atom_site_label
_atom_site_type_symbol
_atom_site_fract_x
_atom_site_fract_y
_atom_site_fract_z
Rh1 Rh 0.135 0.270 0.219
Rh2 Rh 0.865 0.730 0.781
Ge1 Ge 0.617 0.235 0.450
Ge2 Ge 0.383 0.765 0.550
Ge3 Ge 0.500 0.000 0.000
Tm1 Tm 0.152 0.305 0.779
Tm2 Tm 0.848 0.695 0.221
```


Density functional theory data (PBE) for a geometry-optimized KMo2Pt structure.

Output
The volume is 79 Å³/cell. The value obtained for the energy above the lowest structure with this stoichiometry is 245 meV/atom. The calculation puts the formation energy at 0.65 eV/atom.

```
data_KMo2Pt
_cell_length_a 6.403
_cell_length_b 6.403
_cell_length_c 5.173
_cell_angle_alpha 66.21
_cell_angle_beta 66.21
_cell_angle_gamma 24.11
_symmetry_space_group_name_H-M 'P 1'
_symmetry_Int_Tables_number 1
loop_
_symmetry_equiv_pos_as_xyz
'x,y,z'
loop_
_atom_site_label
_atom_site_type_symbol
_atom_site_fract_x
_atom_site_fract_y
_atom_site_fract_z
K1 K 0.250 0.250 0.250
Mo1 Mo 0.042 0.042 0.957
Mo2 Mo 0.458 0.458 0.543
Pt1 Pt 0.750 0.750 0.750
```


Density functional theory data (PBE) for a geometry-optimized PaCd2Sn2 structure.

Output
The volume is 244 Å³/cell. The calculation puts the formation energy at -0.15 eV/atom.

```
data_PaCd2Sn2
_cell_length_a 4.466
_cell_length_b 4.419
_cell_length_c 12.583
_cell_angle_alpha 90.00
_cell_angle_beta 100.22
_cell_angle_gamma 90.00
_symmetry_space_group_name_H-M 'P 1'
_symmetry_Int_Tables_number 1
loop_
_symmetry_equiv_pos_as_xyz
'x,y,z'
loop_
_atom_site_label
_atom_site_type_symbol
_atom_site_fract_x
_atom_site_fract_y
_atom_site_fract_z
Sn1 Sn 0.137 0.250 0.273
Sn2 Sn 0.863 0.750 0.727
Sn3 Sn 0.250 0.750 0.499
Sn4 Sn 0.750 0.250 0.501
Cd1 Cd 0.457 0.750 0.914
Cd2 Cd 0.954 0.250 0.908
Cd3 Cd 0.543 0.250 0.086
Cd4 Cd 0.046 0.750 0.092
Pa1 Pa 0.349 0.250 0.698
Pa2 Pa 0.651 0.750 0.302
```


Density functional theory data (PBE) for a geometry-optimized La2Tb6Er3Th structure.

Output
The volume is 389 Å³/cell. The calculation puts the formation energy at 0.03 eV/atom.

```
data_La2Tb6Er3Th
_cell_length_a 6.209
_cell_length_b 6.209
_cell_length_c 11.833
_cell_angle_alpha 95.02
_cell_angle_beta 95.02
_cell_angle_gamma 119.96
_symmetry_space_group_name_H-M 'P 1'
_symmetry_Int_Tables_number 1
loop_
_symmetry_equiv_pos_as_xyz
'x,y,z'
loop_
_atom_site_label
_atom_site_type_symbol
_atom_site_fract_x
_atom_site_fract_y
_atom_site_fract_z
Tb1 Tb 0.915 0.586 0.747
Tb2 Tb 0.414 0.085 0.253
Tb3 Tb 0.243 0.243 0.747
Tb4 Tb 0.085 0.414 0.253
Tb5 Tb 0.757 0.757 0.253
Tb6 Tb 0.586 0.915 0.747
La1 La 0.667 0.333 0.000
La2 La 0.333 0.667 0.000
Er1 Er 0.500 0.500 0.500
Er2 Er 0.833 0.167 0.500
Er3 Er 0.167 0.833 0.500
Th1 Th 0.000 0.000 0.000
```


Density functional theory data (PBE) for a geometry-optimized SrZr2Cd structure.

Output
The volume is 110 Å³/cell. The calculation puts the formation energy at 0.07 eV/atom.

```
data_SrZr2Cd
_cell_length_a 3.449
_cell_length_b 3.449
_cell_length_c 9.213
_cell_angle_alpha 90.00
_cell_angle_beta 90.00
_cell_angle_gamma 89.99
_symmetry_space_group_name_H-M 'P 1'
_symmetry_Int_Tables_number 1
loop_
_symmetry_equiv_pos_as_xyz
'x,y,z'
loop_
_atom_site_label
_atom_site_type_symbol
_atom_site_fract_x
_atom_site_fract_y
_atom_site_fract_z
Zr1 Zr 0.500 0.500 0.257
Zr2 Zr 0.000 0.000 0.047
Cd1 Cd 0.000 0.000 0.466
Sr1 Sr 0.500 0.500 0.730
```


Density functional theory data (PBE) for a geometry-optimized LaHf2Ni structure.

Output
The volume is 80 Å³/cell. The value obtained for the energy above the lowest structure with this stoichiometry is 0 meV/atom. The calculation puts the formation energy at 0.27 eV/atom.

```
data_LaHf2Ni
_cell_length_a 4.835
_cell_length_b 4.835
_cell_length_c 4.835
_cell_angle_alpha 60.00
_cell_angle_beta 60.00
_cell_angle_gamma 60.00
_symmetry_space_group_name_H-M 'P 1'
_symmetry_Int_Tables_number 1
loop_
_symmetry_equiv_pos_as_xyz
'x,y,z'
loop_
_atom_site_label
_atom_site_type_symbol
_atom_site_fract_x
_atom_site_fract_y
_atom_site_fract_z
Hf1 Hf 0.250 0.250 0.250
Hf2 Hf 0.750 0.750 0.750
Ni1 Ni 0.000 0.000 0.000
La1 La 0.500 0.500 0.500
```


Density functional theory data (PBE) for a geometry-optimized AcPaN3 structure.

Output
The volume is 189 Å³/cell. The formation energy from raw total energies is -6.4 eV per formula unit.

```
data_AcPaN3
_cell_length_a 4.246
_cell_length_b 7.086
_cell_length_c 6.814
_cell_angle_alpha 103.84
_cell_angle_beta 90.00
_cell_angle_gamma 107.44
_symmetry_space_group_name_H-M 'P 1'
_symmetry_Int_Tables_number 1
loop_
_symmetry_equiv_pos_as_xyz
'x,y,z'
loop_
_atom_site_label
_atom_site_type_symbol
_atom_site_fract_x
_atom_site_fract_y
_atom_site_fract_z
Pa1 Pa 0.857 0.714 0.115
Pa2 Pa 0.143 0.286 0.885
Ac1 Ac 0.634 0.268 0.350
Ac2 Ac 0.366 0.732 0.650
N1 N 0.030 0.060 0.106
N2 N 0.171 0.342 0.583
N3 N 0.970 0.940 0.894
N4 N 0.829 0.658 0.417
N5 N 0.681 0.362 0.996
N6 N 0.319 0.638 0.004
```


Density functional theory data (PBE) for a geometry-optimized AcGeS structure.

Output
The volume is 184 Å³/cell. The formation energy from raw total energies is -3.5 eV per formula unit.

```
data_AcGeS
_cell_length_a 4.957
_cell_length_b 4.906
_cell_length_c 7.960
_cell_angle_alpha 107.95
_cell_angle_beta 90.06
_cell_angle_gamma 90.00
_symmetry_space_group_name_H-M 'P 1'
_symmetry_Int_Tables_number 1
loop_
_symmetry_equiv_pos_as_xyz
'x,y,z'
loop_
_atom_site_label
_atom_site_type_symbol
_atom_site_fract_x
_atom_site_fract_y
_atom_site_fract_z
Ge1 Ge 0.250 0.982 0.965
Ge2 Ge 0.750 0.018 0.035
Ac1 Ac 0.250 0.648 0.297
Ac2 Ac 0.750 0.352 0.703
S1 S 0.750 0.744 0.488
S2 S 0.250 0.256 0.512
```


Density functional theory data (PBE) for a geometry-optimized AcPuZnCd structure.

Output
The volume is 115 Å³/cell. The calculation puts the formation energy at -0.07 eV/atom.

```
data_AcPuZnCd
_cell_length_a 5.463
_cell_length_b 5.463
_cell_length_c 5.463
_cell_angle_alpha 60.00
_cell_angle_beta 60.00
_cell_angle_gamma 60.00
_symmetry_space_group_name_H-M 'P 1'
_symmetry_Int_Tables_number 1
loop_
_symmetry_equiv_pos_as_xyz
'x,y,z'
loop_
_atom_site_label
_atom_site_type_symbol
_atom_site_fract_x
_atom_site_fract_y
_atom_site_fract_z
Zn1 Zn 0.250 0.250 0.250
Ac1 Ac 0.000 0.000 0.000
Pu1 Pu 0.500 0.500 0.500
Cd1 Cd 0.750 0.750 0.750
```


Q: What is the volume in the fifth record?
A: 79 Å³/cell